Ca2Ac3Tl2: relaxed, PBE-GGA.

It has space group C2/m (No. 12), with a = 12.370 Å, b = 4.940 Å, c = 9.360 Å, α = 90.00°, β = 108.14° and γ = 90.00°. The inequivalent atoms are Ca at (0.145, 0.000, 0.293), Ac at (0.000, 0.500, 0.500), Ac at (0.126, 0.500, 0.931) and Tl at (0.178, 0.000, 0.694).

As for the crystal system: monoclinic. Its formation energy is -0.160 eV/atom.